Record 1
Entry from the Alexandria database: a relaxed structure of Na2InPbCl8 (PBE).

abc: 6.345 8.295 6.499
angles: 90.00 95.03 90.00
Positions (direct):
Na 0.000 0.237 0.000
Na 0.000 0.763 0.000
In 0.500 0.000 0.500
Pb 0.500 0.500 0.500
Cl 0.208 0.500 0.176
Cl 0.245 0.000 0.188
Cl 0.290 0.233 0.661
Cl 0.290 0.767 0.661
Cl 0.710 0.233 0.339
Cl 0.710 0.767 0.339
Cl 0.755 0.000 0.812
Cl 0.792 0.500 0.824

Results
D(E_F) ... 0.270 states/eV per atom
Mass density ... 3175 kg/m3
Formation energy (no corrections) ... -1.2108 eV per atom
SG ... No. 10


Record 2
Entry from the Alexandria database: a relaxed structure of GdMgIn (PBE).

abc: 4.998 4.998 3.583
angles: 90.00 90.00 120.00
Positions (direct):
Gd 0.000 0.000 0.000
Mg 0.333 0.667 0.500
In 0.667 0.333 0.500

Results
Formation enthalpy at 0 K ... -0.36 eV per atom
D(E_F) ... 0.880 states/eV per atom
Mass density ... 6349 kg/m3
SG ... No. 187


Record 3
Entry from the Alexandria database: a relaxed structure of K2TlAuI6 (PBE).

abc: 8.491 8.491 8.491
angles: 60.00 60.00 60.00
Positions (direct):
K 0.250 0.250 0.250
K 0.750 0.750 0.750
Tl 0.000 0.000 0.000
Au 0.500 0.500 0.500
I 0.260 0.260 0.740
I 0.260 0.740 0.260
I 0.260 0.740 0.740
I 0.740 0.260 0.260
I 0.740 0.260 0.740
I 0.740 0.740 0.260

Results
D(E_F) ... 0.373 states/eV per atom
Mass density ... 4760 kg/m3
Formation energy (no corrections) ... -0.6529 eV per atom
SG ... No. 225


Record 4
Entry from the Alexandria database: a relaxed structure of KP2Os (PBE).

abc: 5.290 5.290 5.290
angles: 136.30 136.30 63.51
Positions (direct):
K 0.000 0.000 0.000
P 0.500 0.500 0.000
P 0.750 0.250 0.500
Os 0.250 0.750 0.500

Results
Formation enthalpy at 0 K ... 1.22 eV per atom
D(E_F) ... 1.086 states/eV per atom
Energy above the most stable polymorph in this dataset ... 133.5 kJ per mole of atoms
Mass density ... 6937 kg/m3
SG ... No. 119


Record 5
Entry from the Alexandria database: a relaxed structure of CdPdBr2 (PBE).

abc: 7.376 7.376 7.376
angles: 128.67 128.67 75.55
Positions (direct):
Cd 0.000 0.000 0.000
Cd 0.750 0.250 0.500
Pd 0.250 0.750 0.500
Pd 0.500 0.500 0.000
Br 0.138 0.625 0.013
Br 0.375 0.388 0.513
Br 0.612 0.125 0.987
Br 0.875 0.862 0.487

Results
D(E_F) ... 0.038 states/eV per atom
Energy above the most stable polymorph in this dataset ... 1.3 kJ per mole of atoms
Mass density ... 5283 kg/m3
Formation energy (no corrections) ... -0.1482 eV per atom
SG ... No. 122


Record 6
Entry from the Alexandria database: a relaxed structure of NaCa2CdSb (PBE).

abc: 5.954 5.954 5.765
angles: 90.00 90.00 90.00
Positions (direct):
Na 0.000 0.000 0.000
Ca 0.000 0.500 0.500
Ca 0.500 0.000 0.500
Cd 0.500 0.500 0.000
Sb 0.000 0.000 0.500

Results
D(E_F) ... 0.551 states/eV per atom
Mass density ... 2740 kg/m3
Formation energy (no corrections) ... -0.2400 eV per atom
SG ... No. 123


Record 7
Entry from the Alexandria database: a relaxed structure of DyUN2 (PBE).

abc: 3.444 3.444 11.405
angles: 90.00 90.00 120.00
Positions (direct):
Dy 0.333 0.667 0.250
Dy 0.667 0.333 0.750
U 0.000 0.000 0.000
U 0.000 0.000 0.500
N 0.333 0.667 0.615
N 0.333 0.667 0.885
N 0.667 0.333 0.115
N 0.667 0.333 0.385

Results
D(E_F) ... 1.237 states/eV per atom
Mass density ... 12149 kg/m3
Formation energy (no corrections) ... -1.4704 eV per atom
SG ... No. 194


Record 8
Entry from the Alexandria database: a relaxed structure of Ac2HgRh (PBE).

abc: 8.619 8.619 8.619
angles: 28.95 28.95 28.95
Positions (direct):
Ac 0.234 0.234 0.234
Ac 0.766 0.766 0.766
Hg 0.000 0.000 0.000
Rh 0.500 0.500 0.500

Results
Formation enthalpy at 0 K ... -0.61 eV per atom
D(E_F) ... 0.888 states/eV per atom
Energy above the most stable polymorph in this dataset ... 0.0 kJ per mole of atoms
Mass density ... 9482 kg/m3
SG ... No. 166


Which value of mass density does entry 1 give?
3175 kg/m3